[1]
# YTa3Sn | Alexandria via LeMat-Bulk | PBE-GGA | optimized geometry
data_YTa3Sn
_cell_length_a 4.957
_cell_length_b 4.957
_cell_length_c 4.957
_cell_angle_alpha 90.00
_cell_angle_beta 90.00
_cell_angle_gamma 90.00
_symmetry_space_group_name_H-M 'P m -3 m'
_symmetry_Int_Tables_number 221
_symmetry_space_group_name_Hall '-P 4 2 3'
loop_
_atom_site_label
_atom_site_type_symbol
_atom_site_fract_x
_atom_site_fract_y
_atom_site_fract_z
Y1 Y 0.000 0.000 0.000
Ta1 Ta 0.000 0.000 0.500
Sn1 Sn 0.500 0.500 0.500
# * DOS(E_F): 3.9 states/eV per cell
# * calculated density: 10.2 g cm⁻³
# * crystal system: cubic
# * uncorrected energy: -0.5164 Ry/atom

=====

[2]
# TaV2Mo5W | Alexandria via LeMat-Bulk | PBE-GGA | optimized geometry
data_TaV2Mo5W
_cell_length_a 3.148
_cell_length_b 13.369
_cell_length_c 13.337
_cell_angle_alpha 90.00
_cell_angle_beta 90.00
_cell_angle_gamma 90.00
_symmetry_space_group_name_H-M 'C m c 21'
_symmetry_Int_Tables_number 36
_symmetry_space_group_name_Hall 'C 2c -2'
loop_
_atom_site_label
_atom_site_type_symbol
_atom_site_fract_x
_atom_site_fract_y
_atom_site_fract_z
Ta1 Ta 0.000 0.082 0.000
V1 V 0.000 0.414 0.001
V2 V 0.000 0.417 0.332
Mo1 Mo 0.000 0.082 0.336
Mo2 Mo 0.000 0.084 0.668
Mo3 Mo 0.000 0.250 0.835
Mo4 Mo 0.000 0.251 0.168
Mo5 Mo 0.000 0.418 0.670
W1 W 0.000 0.247 0.501
# * DOS(E_F): 21.6 states/eV per cell
# * calculated density: 11.2 g cm⁻³
# * crystal system: orthorhombic
# * uncorrected energy: -0.8009 Ry/atom

=====

[3]
# In2AuSe | Alexandria via LeMat-Bulk | PBE-GGA | optimized geometry
data_In2AuSe
_cell_length_a 4.212
_cell_length_b 5.711
_cell_length_c 9.338
_cell_angle_alpha 90.00
_cell_angle_beta 102.96
_cell_angle_gamma 90.00
_symmetry_space_group_name_H-M 'P 1 21 1'
_symmetry_Int_Tables_number 4
_symmetry_space_group_name_Hall 'P 2yb'
loop_
_atom_site_label
_atom_site_type_symbol
_atom_site_fract_x
_atom_site_fract_y
_atom_site_fract_z
In1 In 0.058 0.000 0.117
In2 In 0.334 0.021 0.670
Au1 Au 0.474 0.199 0.948
Se1 Se 0.193 0.212 0.386
# * DOS(E_F): 2.4 states/eV per cell
# * formation energy without anion corrections: -0.33 eV/atom
# * calculated density: 7.7 g cm⁻³
# * crystal system: monoclinic
# * uncorrected energy: -0.2491 Ry/atom

=====

[4]
# KMn2Ag | Alexandria via LeMat-Bulk | PBE-GGA | optimized geometry
data_KMn2Ag
_cell_length_a 9.218
_cell_length_b 2.960
_cell_length_c 7.175
_cell_angle_alpha 90.00
_cell_angle_beta 95.81
_cell_angle_gamma 90.00
_symmetry_space_group_name_H-M 'C 1 m 1'
_symmetry_Int_Tables_number 8
_symmetry_space_group_name_Hall 'C -2y'
loop_
_atom_site_label
_atom_site_type_symbol
_atom_site_fract_x
_atom_site_fract_y
_atom_site_fract_z
K1 K 0.000 0.000 0.000
Mn1 Mn 0.000 0.500 0.501
Mn2 Mn 0.227 0.000 0.651
Ag1 Ag 0.263 0.500 0.334
# * DOS(E_F): 8.1 states/eV per cell
# * calculated density: 4.4 g cm⁻³
# * crystal system: monoclinic
# * uncorrected energy: -0.3584 Ry/atom

=====

[5]
# CuSiB | Alexandria via LeMat-Bulk | PBE-GGA | optimized geometry
data_CuSiB
_cell_length_a 6.027
_cell_length_b 3.481
_cell_length_c 7.274
_cell_angle_alpha 90.00
_cell_angle_beta 106.08
_cell_angle_gamma 90.00
_symmetry_space_group_name_H-M 'C 1 m 1'
_symmetry_Int_Tables_number 8
_symmetry_space_group_name_Hall 'C -2y'
loop_
_atom_site_label
_atom_site_type_symbol
_atom_site_fract_x
_atom_site_fract_y
_atom_site_fract_z
Cu1 Cu 0.000 0.000 0.000
Cu2 Cu 0.094 0.500 0.779
Si1 Si 0.193 0.000 0.578
Si2 Si 0.248 0.500 0.237
B1 B 0.100 0.000 0.292
B2 B 0.399 0.500 0.695
# * DOS(E_F): 4.1 states/eV per cell
# * formation energy without anion corrections: 0.18 eV/atom
# * calculated density: 4.6 g cm⁻³
# * crystal system: monoclinic
# * uncorrected energy: -0.3838 Ry/atom

=====

[6]
# PuGaTcGe2 | Alexandria via LeMat-Bulk | PBE-GGA | optimized geometry
data_PuGaTcGe2
_cell_length_a 5.639
_cell_length_b 5.665
_cell_length_c 5.846
_cell_angle_alpha 90.00
_cell_angle_beta 90.00
_cell_angle_gamma 90.00
_symmetry_space_group_name_H-M 'P m m a'
_symmetry_Int_Tables_number 51
_symmetry_space_group_name_Hall '-P 2a 2a'
loop_
_atom_site_label
_atom_site_type_symbol
_atom_site_fract_x
_atom_site_fract_y
_atom_site_fract_z
Pu1 Pu 0.250 0.000 0.224
Ga1 Ga 0.250 0.500 0.371
Tc1 Tc 0.000 0.500 0.000
Ge1 Ge 0.250 0.230 0.733
# * DOS(E_F): 23.7 states/eV per cell
# * calculated density: 9.9 g cm⁻³
# * crystal system: orthorhombic
# * uncorrected energy: -0.5654 Ry/atom

=====

[7]
# EuP2Ir2 | Alexandria via LeMat-Bulk | PBE-GGA | optimized geometry
data_EuP2Ir2
_cell_length_a 6.7202
_cell_length_b 6.7202
_cell_length_c 7.1187
_cell_angle_alpha 90.00
_cell_angle_beta 90.00
_cell_angle_gamma 120.00
_symmetry_space_group_name_H-M 'P 32 2 1'
_symmetry_Int_Tables_number 154
_symmetry_space_group_name_Hall 'P 32 2"'
loop_
_atom_site_label
_atom_site_type_symbol
_atom_site_fract_x
_atom_site_fract_y
_atom_site_fract_z
Eu1 Eu 0.0000 0.6043 0.3333
P1 P 0.1177 0.3395 0.6233
Ir1 Ir 0.0000 0.1315 0.3333
Ir2 Ir 0.0000 0.5135 0.8333
# * DOS(E_F): 7.5 states/eV per cell
# * calculated density: 10.7 g cm⁻³
# * crystal system: trigonal
# * uncorrected energy: -0.6398 Ry/atom

=====

[8]
# NaGeSb2 | Alexandria via LeMat-Bulk | PBE-GGA | optimized geometry
data_NaGeSb2
_cell_length_a 9.969
_cell_length_b 7.078
_cell_length_c 6.546
_cell_angle_alpha 90.00
_cell_angle_beta 101.09
_cell_angle_gamma 90.00
_symmetry_space_group_name_H-M 'P 1 21/c 1'
_symmetry_Int_Tables_number 14
_symmetry_space_group_name_Hall '-P 2ybc'
loop_
_atom_site_label
_atom_site_type_symbol
_atom_site_fract_x
_atom_site_fract_y
_atom_site_fract_z
Na1 Na 0.126 0.143 0.205
Ge1 Ge 0.344 0.593 0.457
Sb1 Sb 0.158 0.692 0.104
Sb2 Sb 0.417 0.207 0.521
# * DOS(E_F): 4.9 states/eV per cell
# * formation energy without anion corrections: -0.03 eV/atom
# * calculated density: 5.0 g cm⁻³
# * crystal system: monoclinic
# * uncorrected energy: -0.2630 Ry/atom